A geometry-optimized ZnCoMo2 structure. Source: the Alexandria database, functional PBE.

Values from the calculation:
energy relative to the elements	0.11	eV/atom
total DFT energy (no corrections)	-29.582	eV per cell
total moment	0.00	μB/atom

Cell: 2.6484 4.0070 5.2402 Å, 90.00 90.00 90.00°
Sites, in units of the cell vectors:
Zn 0.0000 0.0000 0.0000
Co 0.0000 0.0000 0.5000
Mo 0.5000 0.5000 0.2553
Mo 0.5000 0.5000 0.7447